The following is a DFT calculation (GGA-PBEsol) of an optimized crystal structure of LaCrTe2.

raw formation energy = -650 meV/atom

abc: 4.393 4.393 7.140
angles: 72.08 72.08 60.00
Site moments in Bohr magnetons follow the coordinates.
Element x y z (fractional)
Cr 0.500 0.500 0.500  3.78
La 0.000 0.000 0.000  0.06
Te 0.238 0.238 0.287  -0.02
Te 0.762 0.762 0.713  -0.02

***

The following is a DFT calculation (GGA-PBEsol) of an optimized crystal structure of HfTe2Ru.

raw formation energy = 247 meV/atom

abc: 3.335 3.335 9.384
angles: 79.76 79.76 60.00
Element x y z (fractional)
Ru 0.000 0.000 0.000
Te 0.909 0.909 0.272
Te 0.091 0.091 0.728
Hf 0.500 0.500 0.500